VASP calculation (GGA-PBE) on an optimized crystal structure of TmSc2Co9.

Summary:
VASP energy = -84.27 eV for the cell shown
ΔE_f = -26 kJ per mole of atoms
space group = R-3m (166)

Unit cell a=4.873 b=4.873 c=8.404 alpha=73.15 beta=73.15 gamma=60.00
Element x y z (fractional)
1 Tm 0.000 0.000 0.000
2 Sc 0.859 0.859 0.423
3 Sc 0.141 0.141 0.577
4 Co 0.665 0.665 0.006
5 Co 0.335 0.335 0.994
6 Co 0.500 0.500 0.500
7 Co 0.413 0.413 0.251
8 Co 0.922 0.413 0.251
9 Co 0.413 0.922 0.251
10 Co 0.587 0.587 0.749
11 Co 0.587 0.078 0.749
12 Co 0.078 0.587 0.749



VASP calculation (GGA-PBE) on an optimized crystal structure of Na2AcInBi2.

Summary:
VASP energy = -39.76 eV for the cell shown
ΔE_f = -42 kJ per mole of atoms
space group = Pmc2_1 (26)

Unit cell a=4.650 b=9.268 c=9.632 alpha=90.00 beta=90.00 gamma=90.00
Element x y z (fractional)
1 Na 0.500 0.064 0.076
2 Na 0.000 0.377 0.184
3 Na 0.500 0.564 0.924
4 Na 0.000 0.877 0.816
5 Ac 0.000 0.956 0.436
6 Ac 0.000 0.456 0.564
7 In 0.500 0.123 0.725
8 In 0.500 0.623 0.275
9 Bi 0.000 0.293 0.870
10 Bi 0.500 0.232 0.411
11 Bi 0.000 0.793 0.130
12 Bi 0.500 0.732 0.589



VASP calculation (GGA-PBE) on an optimized crystal structure of ZrFeN.

Summary:
ΔE_f (raw) = -217.1 kJ/mol of formula units
VASP energy = -110.34 eV for the cell shown
space group = Cm (8)
energy relative to the lowest polymorph listed for this composition = 0.45 eV/f.u.

Unit cell a=4.881 b=3.138 c=10.380 alpha=90.00 beta=106.47 gamma=90.00
Element x y z (fractional)
1 Zr 0.269 0.000 0.202
2 Zr 0.269 0.500 0.702
3 Zr 0.908 0.000 0.415
4 Zr 0.908 0.500 0.915
5 Fe 0.435 0.000 0.959
6 Fe 0.435 0.500 0.459
7 Fe 0.757 0.000 0.650
8 Fe 0.757 0.500 0.150
9 N 0.814 0.000 0.060
10 N 0.814 0.500 0.560
11 N 0.091 0.000 0.809
12 N 0.091 0.500 0.309



The highest VASP energy belongs to which entry? Na2AcInBi2



Among the records above, which one has the lowest VASP energy? ZrFeN



The highest VASP energy belongs to which entry? Na2AcInBi2